# 1
The following is a PBE-GGA calculation of UGaIr after structural relaxation, from OQMD.

total magnetization = 0.5004 μB per atom
space-group type = F-43m (216)
calculated density = 12247 kg/m3
total DFT energy (no corrections) = -22.1 eV per cell

extended XYZ file:
```
3
Lattice="0.0000 3.2362 3.2362 3.2362 0.0000 3.2362 3.2362 3.2362 0.0000" Properties=species:S:1:pos:R:3 pbc="T T T"
Ir 4.8543 4.8543 4.8543
Ga 1.6181 1.6181 1.6181
U 0.0000 0.0000 0.0000
```

# 2
The following is a PBE-GGA calculation of Y2SiAg2 after structural relaxation, from OQMD.

total magnetization = 0.0005 μB per atom
space-group type = I4/mmm (139)
calculated density = 5419 kg/m3
total DFT energy (no corrections) = -22.6 eV per cell

extended XYZ file:
```
5
Lattice="2.7696 -5.0123 2.7676 -3.2763 -2.3101 4.9379 -1.4716 1.5240 -5.9971" Properties=species:S:1:pos:R:3 pbc="T T T"
Y 0.5223 -3.5747 0.3116
Y -2.5007 -2.2236 1.3967
Ag -0.3127 -4.5180 4.7543
Ag -0.1941 -2.8044 2.9511
Si 0.0000 0.0000 0.0000
```

# 3
The following is a PBE-GGA calculation of ZrBePO after structural relaxation, from OQMD.

total magnetization = 0.0017 μB per atom
space-group type = P4/nmm (129)
calculated density = 3744 kg/m3
total DFT energy (no corrections) = -50.8 eV per cell

extended XYZ file:
```
8
Lattice="-0.8894 -2.7413 -2.5342 2.9241 1.1079 -2.2247 5.3621 -5.6526 4.2327" Properties=species:S:1:pos:R:3 pbc="T T T"
O 1.0174 -0.8167 -2.3795
O 0.0000 0.0000 0.0000
Be 1.5104 0.5031 -1.0743
Be 4.8691 -6.9723 2.9275
P 3.2755 -5.2924 1.6696
P 3.1040 -1.1769 0.1837
Zr 3.6984 -3.6430 -0.2631
Zr 2.6810 -2.8263 2.1164
```